Here is a geometry-optimized Ta2InOs structure from Alexandria via LeMat-Bulk. Energies are from PBE-GGA.

Results
N(E_F) = 3.996 states/eV/cell
space-group type = I-4m2
energy = -9.235 eV per atom
ρ = 15.67 g cm⁻³
E_form = 183 meV/atom

Geometry as POSCAR:
```
Ta2InOs
1.0
-1.996 1.996 4.437
1.996 -1.996 4.437
1.996 1.996 -4.437
Ta In Os
2 1 1
Direct
0.000 0.000 0.000 Ta
0.750 0.250 0.500 Ta
0.250 0.750 0.500 In
0.500 0.500 0.000 Os
```


Here is a geometry-optimized TaInOs2 structure from Alexandria via LeMat-Bulk. Energies are from PBE-GGA.

Results
N(E_F) = 2.897 states/eV/cell
space-group type = Pmm2
energy = -9.019 eV per atom
ρ = 16.89 g cm⁻³
E_form = 243 meV/atom

Geometry as POSCAR:
```
TaInOs2
1.0
2.885 0.000 0.000
0.000 4.176 0.000
0.000 0.000 5.518
Ta In Os
1 1 2
Direct
0.000 0.000 0.000 Ta
0.500 0.500 0.289 In
0.000 0.000 0.517 Os
0.500 0.500 0.785 Os
```


Here is a geometry-optimized TaInOs2 structure from Alexandria via LeMat-Bulk. Energies are from PBE-GGA.

Results
N(E_F) = 5.728 states/eV/cell
space-group type = I-42d
energy = -8.471 eV per atom
ρ = 14.83 g cm⁻³
E_form = 792 meV/atom

Geometry as POSCAR:
```
TaInOs2
1.0
-3.688 3.688 2.783
3.688 -3.688 2.783
3.688 3.688 -2.783
Ta In Os
2 2 4
Direct
0.000 0.000 0.000 Ta
0.750 0.250 0.500 Ta
0.250 0.750 0.500 In
0.500 0.500 0.000 In
0.087 0.625 0.962 Os
0.375 0.337 0.462 Os
0.663 0.125 0.038 Os
0.875 0.913 0.538 Os
```


Here is a geometry-optimized TaInOs3 structure from Alexandria via LeMat-Bulk. Energies are from PBE-GGA.

Results
relative energy among the computed polymorphs = 0.646 eV/atom
N(E_F) = 3.872 states/eV/cell
space-group type = Pm-3m
energy = -7.019 eV per atom
ρ = 13.90 g cm⁻³
E_form = 2637 meV/atom

Geometry as POSCAR:
```
TaInOs3
1.0
4.695 0.000 0.000
0.000 4.695 0.000
0.000 0.000 4.695
Ta In Os
1 1 3
Direct
0.000 0.000 0.000 Ta
0.500 0.500 0.500 In
0.000 0.500 0.500 Os
0.500 0.000 0.500 Os
0.500 0.500 0.000 Os
```


Here is a geometry-optimized Ta2InOs structure from Alexandria via LeMat-Bulk. Energies are from PBE-GGA.

Results
N(E_F) = 3.310 states/eV/cell
space-group type = Cmmm
energy = -9.302 eV per atom
ρ = 15.75 g cm⁻³
E_form = 116 meV/atom

Geometry as POSCAR:
```
Ta2InOs
1.0
2.886 -4.083 0.000
2.886 4.083 0.000
0.000 0.000 2.982
Ta In Os
2 1 1
Direct
0.000 0.500 0.000 Ta
0.500 0.000 0.000 Ta
0.000 0.000 0.500 In
0.500 0.500 0.500 Os
```


Here is a geometry-optimized Ta2InOs structure from Alexandria via LeMat-Bulk. Energies are from PBE-GGA.

Results
N(E_F) = 3.789 states/eV/cell
space-group type = Cmm2
energy = -9.231 eV per atom
ρ = 15.32 g cm⁻³
E_form = 187 meV/atom

Geometry as POSCAR:
```
Ta2InOs
1.0
1.643 -2.408 0.000
1.643 2.408 0.000
0.000 0.000 9.134
Ta In Os
2 1 1
Direct
0.000 0.000 0.000 Ta
0.500 0.500 0.250 Ta
0.500 0.500 0.728 In
0.000 0.000 0.474 Os
```


Here is a geometry-optimized Ta2InOs structure from Alexandria via LeMat-Bulk. Energies are from PBE-GGA.

Results
N(E_F) = 2.667 states/eV/cell
space-group type = Pmmm
energy = -9.378 eV per atom
ρ = 15.64 g cm⁻³
E_form = 40 meV/atom

Geometry as POSCAR:
```
Ta2InOs
1.0
3.012 0.000 0.000
0.000 4.018 0.000
0.000 0.000 5.850
Ta In Os
2 1 1
Direct
0.000 0.000 0.228 Ta
0.000 0.000 0.772 Ta
0.500 0.500 0.500 In
0.500 0.500 0.000 Os
```


Here is a geometry-optimized Ta2InOs structure from Alexandria via LeMat-Bulk. Energies are from PBE-GGA.

Results
N(E_F) = 2.140 states/eV/cell
space-group type = P4/mmm
energy = -9.314 eV per atom
ρ = 15.80 g cm⁻³
E_form = 104 meV/atom

Geometry as POSCAR:
```
Ta2InOs
1.0
4.083 0.000 0.000
0.000 4.083 0.000
0.000 0.000 4.206
Ta In Os
2 1 1
Direct
0.000 0.500 0.000 Ta
0.500 0.000 0.000 Ta
0.000 0.000 0.500 In
0.500 0.500 0.500 Os
```


Here is a geometry-optimized TaInOs2 structure from Alexandria via LeMat-Bulk. Energies are from PBE-GGA.

Results
N(E_F) = 0.680 states/eV/cell
space-group type = P4/mmm
energy = -9.218 eV per atom
ρ = 17.03 g cm⁻³
E_form = 44 meV/atom

Geometry as POSCAR:
```
TaInOs2
1.0
4.506 0.000 0.000
0.000 4.506 0.000
0.000 0.000 3.247
Ta In Os
1 1 2
Direct
0.000 0.000 0.000 Ta
0.500 0.500 0.000 In
0.000 0.500 0.500 Os
0.500 0.000 0.500 Os
```


Here is a geometry-optimized TaInOs structure from Alexandria via LeMat-Bulk. Energies are from PBE-GGA.

Results
N(E_F) = 2.216 states/eV/cell
space-group type = P3m1
energy = -8.368 eV per atom
ρ = 15.24 g cm⁻³
E_form = 239 meV/atom

Geometry as POSCAR:
```
TaInOs
1.0
4.543 0.000 0.000
-2.271 3.934 0.000
0.000 0.000 2.963
Ta In Os
1 1 1
Direct
0.000 0.000 0.000 Ta
0.667 0.333 0.453 In
0.333 0.667 0.713 Os
```


Here is a geometry-optimized TaInOs2 structure from Alexandria via LeMat-Bulk. Energies are from PBE-GGA.

Results
N(E_F) = 3.590 states/eV/cell
space-group type = Cmmm
energy = -8.968 eV per atom
ρ = 16.45 g cm⁻³
E_form = 294 meV/atom

Geometry as POSCAR:
```
TaInOs2
1.0
1.579 -2.429 0.000
1.579 2.429 0.000
0.000 0.000 8.899
Ta In Os
1 1 2
Direct
0.000 0.000 0.000 Ta
0.000 0.000 0.500 In
0.500 0.500 0.235 Os
0.500 0.500 0.765 Os
```


Here is a geometry-optimized Ta2InOs structure from Alexandria via LeMat-Bulk. Energies are from PBE-GGA.

Results
N(E_F) = 3.686 states/eV/cell
space-group type = Imm2
energy = -9.313 eV per atom
ρ = 15.51 g cm⁻³
E_form = 105 meV/atom

Geometry as POSCAR:
```
Ta2InOs
1.0
-1.574 2.365 4.794
1.574 -2.365 4.794
1.574 2.365 -4.794
Ta In Os
2 1 1
Direct
0.000 0.000 0.000 Ta
0.749 0.249 0.500 Ta
0.275 0.775 0.500 In
0.524 0.524 0.000 Os
```


Here is a geometry-optimized Ta4InOs structure from Alexandria via LeMat-Bulk. Energies are from PBE-GGA.

Results
N(E_F) = 2.354 states/eV/cell
space-group type = F-43m
energy = -9.829 eV per atom
ρ = 15.39 g cm⁻³
E_form = 401 meV/atom

Geometry as POSCAR:
```
Ta4InOs
1.0
0.000 3.814 3.814
3.814 0.000 3.814
3.814 3.814 0.000
Ta In Os
4 1 1
Direct
0.125 0.125 0.125 Ta
0.125 0.125 0.626 Ta
0.125 0.626 0.125 Ta
0.626 0.125 0.125 Ta
0.750 0.750 0.750 In
0.500 0.500 0.500 Os
```


Here is a geometry-optimized Ta2InOs structure from Alexandria via LeMat-Bulk. Energies are from PBE-GGA.

Results
N(E_F) = 4.185 states/eV/cell
space-group type = I4/mmm
energy = -9.267 eV per atom
ρ = 15.73 g cm⁻³
E_form = 152 meV/atom

Geometry as POSCAR:
```
Ta2InOs
1.0
-2.044 2.044 4.215
2.044 -2.044 4.215
2.044 2.044 -4.215
Ta In Os
2 1 1
Direct
0.250 0.750 0.500 Ta
0.750 0.250 0.500 Ta
0.000 0.000 0.000 In
0.500 0.500 0.000 Os
```


Here is a geometry-optimized Ta2InOs structure from Alexandria via LeMat-Bulk. Energies are from PBE-GGA.

Results
N(E_F) = 2.344 states/eV/cell
space-group type = Pmm2
energy = -9.302 eV per atom
ρ = 15.37 g cm⁻³
E_form = 116 meV/atom

Geometry as POSCAR:
```
Ta2InOs
1.0
3.138 0.000 0.000
0.000 3.772 0.000
0.000 0.000 6.090
Ta In Os
2 1 1
Direct
0.000 0.000 0.000 Ta
0.500 0.500 0.244 Ta
0.000 0.000 0.517 In
0.500 0.500 0.790 Os
```